# PBE La4As2PS, relaxed
# ΔE_f (raw)   -1.76 eV/atom
# Spin magnetization   0.00 Bohr magnetons per cell
data_La4As2PS
_chemical_formula_sum 'La4 As2 P1 S1'
_cell_length_a 7.4363
_cell_length_b 4.3038
_cell_length_c 7.4474
_cell_angle_alpha 90.00
_cell_angle_beta 109.45
_cell_angle_gamma 90.00
_symmetry_space_group_name_H-M 'P 1 2/m 1'
_symmetry_Int_Tables_number 10
_symmetry_space_group_name_Hall '-P 2y'
loop_
_atom_site_label
_atom_site_type_symbol
_atom_site_fract_x
_atom_site_fract_y
_atom_site_fract_z
La1 La 0.2451 0.0000 0.2462
La2 La 0.2472 0.5000 0.7519
As1 As 0.5000 0.0000 0.0000
As2 As 0.5000 0.5000 0.5000
P1 P 0.0000 0.5000 0.0000
S1 S 0.0000 0.0000 0.5000

---

# PBE La6As3P2S, relaxed
# ΔE_f (raw)   -1.70 eV/atom
# Spin magnetization   0.00 Bohr magnetons per cell
data_La6As3P2S
_chemical_formula_sum 'La12 As6 P4 S2'
_cell_length_a 18.7678
_cell_length_b 4.3113
_cell_length_c 8.6205
_cell_angle_alpha 90.00
_cell_angle_beta 103.19
_cell_angle_gamma 90.00
_symmetry_space_group_name_H-M 'C 1 2/m 1'
_symmetry_Int_Tables_number 12
_symmetry_space_group_name_Hall '-C 2y'
loop_
_atom_site_label
_atom_site_type_symbol
_atom_site_fract_x
_atom_site_fract_y
_atom_site_fract_z
La1 La 0.0015 0.0000 0.2510
La2 La 0.1667 0.5000 0.0878
La3 La 0.1683 0.5000 0.5798
As1 As 0.0000 0.5000 0.5000
As2 As 0.1656 0.0000 0.8342
P1 P 0.1655 0.0000 0.3312
S1 S 0.0000 0.5000 0.0000

---

# PBE La8As4P3S, relaxed
# ΔE_f (raw)   -1.67 eV/atom
# Spin magnetization   0.00 Bohr magnetons per cell
data_La8As4P3S
_chemical_formula_sum 'La24 As12 P9 S3'
_cell_length_a 8.6290
_cell_length_b 8.6290
_cell_length_c 21.1289
_cell_angle_alpha 90.00
_cell_angle_beta 90.00
_cell_angle_gamma 120.00
_symmetry_space_group_name_H-M 'R -3 m'
_symmetry_Int_Tables_number 166
_symmetry_space_group_name_Hall '-R 3 2"'
loop_
_atom_site_label
_atom_site_type_symbol
_atom_site_fract_x
_atom_site_fract_y
_atom_site_fract_z
La1 La 0.0000 0.0000 0.2480
La2 La 0.0026 0.5013 0.7515
As1 As 0.0000 0.0000 0.0000
As2 As 0.0000 0.5000 0.0000
P1 P 0.0000 0.5000 0.5000
S1 S 0.0000 0.0000 0.5000

---

# PBE LaAsP2S, relaxed
# ΔE_f (raw)   -0.29 eV/atom
# Spin magnetization   0.00 Bohr magnetons per cell
# Polymorph energy (0 for the lowest one)   0 meV per atom
data_LaAsP2S
_chemical_formula_sum 'La1 As1 P2 S1'
_cell_length_a 4.6977
_cell_length_b 4.6977
_cell_length_c 5.0079
_cell_angle_alpha 90.00
_cell_angle_beta 90.00
_cell_angle_gamma 90.00
_symmetry_space_group_name_H-M 'P 4/m m m'
_symmetry_Int_Tables_number 123
_symmetry_space_group_name_Hall '-P 4 2'
loop_
_atom_site_label
_atom_site_type_symbol
_atom_site_fract_x
_atom_site_fract_y
_atom_site_fract_z
La1 La 0.0000 0.0000 0.0000
As1 As 0.5000 0.5000 0.5000
P1 P 0.0000 0.5000 0.5000
S1 S 0.5000 0.5000 0.0000

---

# PBE La8As3PS4, relaxed
# ΔE_f (raw)   -1.90 eV/atom
# Spin magnetization   0.00 Bohr magnetons per cell
data_La8As3PS4
_chemical_formula_sum 'La24 As9 P3 S12'
_cell_length_a 8.5425
_cell_length_b 8.5425
_cell_length_c 20.7555
_cell_angle_alpha 90.00
_cell_angle_beta 90.00
_cell_angle_gamma 120.00
_symmetry_space_group_name_H-M 'R -3 m'
_symmetry_Int_Tables_number 166
_symmetry_space_group_name_Hall '-R 3 2"'
loop_
_atom_site_label
_atom_site_type_symbol
_atom_site_fract_x
_atom_site_fract_y
_atom_site_fract_z
La1 La 0.0000 0.0000 0.2489
La2 La 0.0043 0.5021 0.7500
As1 As 0.0000 0.5000 0.0000
P1 P 0.0000 0.0000 0.0000
S1 S 0.0000 0.0000 0.5000
S2 S 0.0000 0.5000 0.5000

---

# PBE La6As3PS2, relaxed
# ΔE_f (raw)   -1.80 eV/atom
# Spin magnetization   0.00 Bohr magnetons per cell
data_La6As3PS2
_chemical_formula_sum 'La12 As6 P2 S4'
_cell_length_a 18.6946
_cell_length_b 4.2984
_cell_length_c 8.5686
_cell_angle_alpha 90.00
_cell_angle_beta 103.10
_cell_angle_gamma 90.00
_symmetry_space_group_name_H-M 'C 1 2/m 1'
_symmetry_Int_Tables_number 12
_symmetry_space_group_name_Hall '-C 2y'
loop_
_atom_site_label
_atom_site_type_symbol
_atom_site_fract_x
_atom_site_fract_y
_atom_site_fract_z
La1 La 0.0004 0.0000 0.2451
La2 La 0.1646 0.5000 0.0825
La3 La 0.1664 0.5000 0.5825
As1 As 0.0000 0.5000 0.5000
As2 As 0.1676 0.0000 0.8320
P1 P 0.0000 0.5000 0.0000
S1 S 0.1676 0.0000 0.3350

---

# PBE La4AsPS2, relaxed
# ΔE_f (raw)   -1.91 eV/atom
# Spin magnetization   0.00 Bohr magnetons per cell
data_La4AsPS2
_chemical_formula_sum 'La4 As1 P1 S2'
_cell_length_a 7.3290
_cell_length_b 4.2572
_cell_length_c 7.3710
_cell_angle_alpha 90.00
_cell_angle_beta 109.62
_cell_angle_gamma 90.00
_symmetry_space_group_name_H-M 'P 1 2/m 1'
_symmetry_Int_Tables_number 10
_symmetry_space_group_name_Hall '-P 2y'
loop_
_atom_site_label
_atom_site_type_symbol
_atom_site_fract_x
_atom_site_fract_y
_atom_site_fract_z
La1 La 0.2471 0.0000 0.2448
La2 La 0.2501 0.5000 0.7543
As1 As 0.0000 0.0000 0.5000
P1 P 0.0000 0.5000 0.0000
S1 S 0.5000 0.0000 0.0000
S2 S 0.5000 0.5000 0.5000

---

# PBE La6As2P3S, relaxed
# ΔE_f (raw)   -1.71 eV/atom
# Spin magnetization   0.00 Bohr magnetons per cell
data_La6As2P3S
_chemical_formula_sum 'La12 As4 P6 S2'
_cell_length_a 18.7068
_cell_length_b 4.2923
_cell_length_c 8.5923
_cell_angle_alpha 90.00
_cell_angle_beta 103.35
_cell_angle_gamma 90.00
_symmetry_space_group_name_H-M 'C 1 2/m 1'
_symmetry_Int_Tables_number 12
_symmetry_space_group_name_Hall '-C 2y'
loop_
_atom_site_label
_atom_site_type_symbol
_atom_site_fract_x
_atom_site_fract_y
_atom_site_fract_z
La1 La 0.0018 0.0000 0.2464
La2 La 0.1654 0.5000 0.0865
La3 La 0.1675 0.5000 0.5790
As1 As 0.1652 0.0000 0.8305
P1 P 0.0000 0.5000 0.0000
P2 P 0.1660 0.0000 0.3343
S1 S 0.0000 0.5000 0.5000